(1)
The following is a PBE-GGA calculation of crystalline HoZn3Ga3 at its relaxed geometry, from Alexandria.

Properties
- Total moment: 0.00 Bohr magnetons per cell
- Space group: No. 223
- Distance to the lowest polymorph of the same formula: 0.00 eV/f.u.
- Formation energy: 0.239 eV per atom

Cell lengths 6.8503, 6.8503, 6.8503 Å; angles 90.00, 90.00, 90.00 degrees
Closest atoms and distances in Å follow each position.
Element x y z (fractional)
Zn: 0.2500 0.0000 0.5000  4 Ga 2.42
Zn: 0.0000 0.5000 0.2500  4 Ga 2.42
Zn: 0.5000 0.7500 0.0000  4 Ga 2.42
Zn: 0.7500 0.0000 0.5000  4 Ga 2.42
Zn: 0.0000 0.5000 0.7500  4 Ga 2.42
Zn: 0.5000 0.2500 0.0000  4 Ga 2.42
Ho: 0.5000 0.5000 0.5000  12 Zn 3.83, 12 Ga 3.83
Ho: 0.0000 0.0000 0.0000  12 Ga 3.83, 12 Zn 3.83
Ga: 0.0000 0.2500 0.5000  4 Zn 2.42
Ga: 0.0000 0.7500 0.5000  4 Zn 2.42
Ga: 0.5000 0.0000 0.7500  4 Zn 2.42
Ga: 0.7500 0.5000 0.0000  4 Zn 2.42
Ga: 0.5000 0.0000 0.2500  4 Zn 2.42
Ga: 0.2500 0.5000 0.0000  4 Zn 2.42

=====

(2)
The following is a PBE-GGA calculation of crystalline HoZn2Ga at its relaxed geometry, from Alexandria.

Properties
- Total moment: 0.00 Bohr magnetons per cell
- Space group: No. 225
- Formation energy: -0.267 eV per atom

Cell lengths 4.7289, 4.7289, 4.7289 Å; angles 60.00, 60.00, 60.00 degrees
Closest atoms and distances in Å follow each position.
Element x y z (fractional)
Zn: 0.2500 0.2500 0.2500  4 Ho 2.90, 4 Ga 2.90
Zn: 0.7500 0.7500 0.7500  4 Ho 2.90, 4 Ga 2.90
Ho: 0.0000 0.0000 0.0000  8 Zn 2.90
Ga: 0.5000 0.5000 0.5000  8 Zn 2.90

=====

(3)
The following is a PBE-GGA calculation of crystalline Ho2Zn3Ga2 at its relaxed geometry, from Alexandria.

Properties
- Total moment: 0.00 Bohr magnetons per cell
- Space group: No. 12
- Distance to the lowest polymorph of the same formula: 0.00 eV/f.u.
- Formation energy: -0.462 eV per atom

Cell lengths 4.2984, 5.6359, 6.4980 Å; angles 110.83, 90.00, 112.42 degrees
Closest atoms and distances in Å follow each position.
Element x y z (fractional)
Ho: 0.8477 0.6954 0.2337  6 Zn 2.99-3.35, 4 Ga 3.01-3.14
Ho: 0.1523 0.3046 0.7663  6 Zn 2.99-3.35, 4 Ga 3.01-3.14
Zn: 0.5000 0.0000 0.0000  2 Zn 2.53, 4 Ga 2.78
Zn: 0.5921 0.1843 0.4217  2 Zn 2.50-2.53, 3 Ga 2.60-2.72
Zn: 0.4079 0.8157 0.5783  2 Zn 2.50-2.53, 3 Ga 2.60-2.72
Ga: 0.8506 0.7011 0.7520  5 Zn 2.60-2.78
Ga: 0.1494 0.2989 0.2480  5 Zn 2.60-2.78

=====

(4)
The following is a PBE-GGA calculation of crystalline Ho3Zn8Ga3 at its relaxed geometry, from Alexandria.

Properties
- Total moment: 0.00 Bohr magnetons per cell
- Space group: No. 71
- Formation energy: -0.373 eV per atom

Cell lengths 4.2593, 8.1242, 8.1242 Å; angles 72.51, 74.80, 74.80 degrees
Closest atoms and distances in Å follow each position.
Element x y z (fractional)
Ho: 0.5000 0.5000 0.5000  12 Zn 3.16-3.18, 4 Ga 3.50
Ho: 0.8101 0.1899 0.1899  10 Zn 3.07-3.33, 4 Ga 3.10-3.17
Ho: 0.1899 0.8101 0.8101  10 Zn 3.07-3.33, 4 Ga 3.10-3.17
Zn: 0.6430 0.0852 0.6288  3 Zn 2.55-2.59, 3 Ga 2.78-2.82
Zn: 0.3570 0.9148 0.3712  3 Zn 2.55-2.59, 3 Ga 2.78-2.82
Zn: 0.6430 0.6288 0.0852  3 Zn 2.55-2.59, 3 Ga 2.78-2.82
Zn: 0.3570 0.3712 0.9148  3 Zn 2.55-2.59, 3 Ga 2.78-2.82
Zn: 0.8373 0.7916 0.5337  4 Zn 2.48-2.59, 1 Ga 2.54
Zn: 0.1627 0.2084 0.4663  4 Zn 2.48-2.59, 1 Ga 2.54
Zn: 0.8373 0.5337 0.7916  4 Zn 2.48-2.59, 1 Ga 2.54
Zn: 0.1627 0.4663 0.2084  4 Zn 2.48-2.59, 1 Ga 2.54
Ga: 0.5000 0.0000 0.0000  4 Zn 2.82, 4 Ga 2.94
Ga: 0.0000 0.7895 0.2105  6 Zn 2.54-2.78
Ga: 0.0000 0.2105 0.7895  6 Zn 2.54-2.78

=====

- Number 2 is which compound?
  HoZn2Ga